First-principles (PBE) data for a relaxed TbZn6Au3 crystal, as listed in the Alexandria database.

Summary:
E_tot   -2.4744 eV/atom
M_tot   0.0 μB per cell
Formation enthalpy at 0 K   -0.264 eV per atom

Cell: 8.7587 3.9991 10.8663 Å, 90.00 104.08 90.00°
With the nearest neighbours (Å) after each atom.
Space group P2_1/m (No. 11)
One atom of each set of equivalent atoms:
Tb (0.0122, 0.2500, 0.2392) (multiplicity 2)  4 Au 2.93-3.10, 7 Zn 3.00-3.13
Zn (0.0972, 0.7500, 0.4677) (multiplicity 2)  6 Zn 2.66-2.88, 2 Au 2.77
Zn (0.2038, 0.2500, 0.6596) (multiplicity 2)  6 Zn 2.66-2.94, 3 Au 2.75-2.77
Zn (0.2178, 0.2500, 0.9324) (multiplicity 2)  5 Au 2.75-3.00, 5 Zn 2.87-3.00
Zn (0.3409, 0.2500, 0.2028) (multiplicity 2)  4 Au 2.66-2.86, 4 Zn 2.68-2.87
Zn (0.4112, 0.7500, 0.5954) (multiplicity 2)  4 Au 2.60-2.64, 4 Zn 2.68-2.90
Zn (0.4423, 0.7500, 0.0754) (multiplicity 2)  4 Au 2.68-2.76, 6 Zn 2.70-2.97
Au (0.1266, 0.7500, 0.0747) (multiplicity 2)  6 Zn 2.76-3.00, 2 Tb 3.01
Au (0.3052, 0.2500, 0.4392) (multiplicity 2)  7 Zn 2.60-2.77
Au (0.3530, 0.7500, 0.8216) (multiplicity 2)  9 Zn 2.63-2.77



First-principles (PBE) data for a relaxed Tb4Zn2Au crystal, as listed in the Alexandria database.

Summary:
E_tot   -3.8047 eV/atom
Excess energy over the best structure of this formula in the dataset   0 meV per atom
M_tot   0.0 μB per cell
Formation enthalpy at 0 K   -0.327 eV per atom

Cell: 5.0433 5.0433 24.4832 Å, 90.00 90.00 120.00°
With the nearest neighbours (Å) after each atom.
Space group R-3m (No. 166, hexagonal axes)
One atom of each set of equivalent atoms:
Tb (0.0000, 0.0000, 0.1220) (multiplicity 6)  4 Zn 3.08-3.18, 3 Au 3.11
Tb (0.0000, 0.0000, 0.3731) (multiplicity 6)  4 Zn 2.97-3.08, 1 Au 3.11
Zn (0.0000, 0.0000, 0.2519) (multiplicity 6)  8 Tb 2.97-3.18
Au (0.0000, 0.0000, 0.5000) (multiplicity 3)  8 Tb 3.11



First-principles (PBE) data for a relaxed Tb3Zn4Au4 crystal, as listed in the Alexandria database.

Summary:
E_tot   -3.5249 eV/atom
M_tot   0.0 μB per cell
Formation enthalpy at 0 K   -0.607 eV per atom

Cell: 3.6200 4.4163 14.4753 Å, 98.76 97.14 90.05°
With the nearest neighbours (Å) after each atom.
Space group P-1 (No. 2)
One atom of each set of equivalent atoms:
Tb (0.0000, 0.0000, 0.0000) (multiplicity 1)  8 Au 3.18-3.19, 4 Zn 3.26-3.27
Tb (0.1452, 0.6445, 0.2878) (multiplicity 2)  6 Au 3.11-3.24, 6 Zn 3.16-3.33
Zn (0.2582, 0.2571, 0.5153) (multiplicity 2)  4 Au 2.69-2.71, 4 Zn 2.88-2.90
Zn (0.4033, 0.9036, 0.8086) (multiplicity 2)  3 Au 2.57-2.60
Au (0.3111, 0.8121, 0.6254) (multiplicity 2)  5 Zn 2.60-2.71
Au (0.4510, 0.4499, 0.9009) (multiplicity 2)  2 Zn 2.57, 1 Au 2.81



First-principles (PBE) data for a relaxed Tb2ZnAu6 crystal, as listed in the Alexandria database.

Summary:
E_tot   -3.9416 eV/atom
M_tot   0.0 μB per cell
Formation enthalpy at 0 K   -0.586 eV per atom

Cell: 10.8667 6.2593 5.4504 Å, 90.00 90.07 90.00°
With the nearest neighbours (Å) after each atom.
Space group C2/m (No. 12)
One atom of each set of equivalent atoms:
Tb (0.1664, 0.0000, 0.1755) (multiplicity 4)  12 Au 3.10-3.27
Zn (0.0000, 0.5000, 0.0000) (multiplicity 2)  6 Au 2.58
Au (0.0908, 0.2283, 0.6934) (multiplicity 8)  1 Zn 2.58, 4 Au 2.86-2.89
Au (0.1817, 0.5000, 0.3059) (multiplicity 4)  1 Zn 2.58, 4 Au 2.86-2.89



First-principles (PBE) data for a relaxed Tb8ZnAu2 crystal, as listed in the Alexandria database.

Summary:
E_tot   -4.4455 eV/atom
M_tot   0.0 μB per cell
Formation enthalpy at 0 K   -0.366 eV per atom

Cell: 17.8928 5.1442 6.8800 Å, 90.00 106.19 90.00°
With the nearest neighbours (Å) after each atom.
Space group C2/m (No. 12)
One atom of each set of equivalent atoms:
Tb (0.0288, 0.0000, 0.2789) (multiplicity 4)  1 Au 2.89, 2 Zn 3.10
Tb (0.0918, 0.5000, 0.9578) (multiplicity 4)  1 Zn 3.12, 2 Au 3.32, 4 Tb 3.44-3.49
Tb (0.1670, 0.5000, 0.4764) (multiplicity 4)  3 Au 2.87-3.15, 1 Zn 3.04
Tb (0.1991, 0.0000, 0.8201) (multiplicity 4)  1 Au 2.89
Zn (0.0000, 0.5000, 0.5000) (multiplicity 2)  8 Tb 3.04-3.12
Au (0.1838, 0.0000, 0.2271) (multiplicity 4)  5 Tb 2.87-3.15



First-principles (PBE) data for a relaxed Tb6ZnAu5 crystal, as listed in the Alexandria database.

Summary:
E_tot   -4.5555 eV/atom
M_tot   0.0 μB per cell
Formation enthalpy at 0 K   -0.769 eV per atom

Cell: 5.1173 15.4192 7.1662 Å, 90.00 90.00 90.00°
With the nearest neighbours (Å) after each atom.
Space group Cmmm (No. 65)
One atom of each set of equivalent atoms:
Tb (0.0000, 0.0000, 0.2461) (multiplicity 4)  6 Au 3.02-3.14, 2 Zn 3.14
Tb (0.0000, 0.3324, 0.2511) (multiplicity 8)  7 Au 3.10-3.25, 1 Zn 3.14
Zn (0.0000, 0.5000, 0.5000) (multiplicity 2)  8 Tb 3.14, 4 Au 3.52
Au (0.0000, 0.1564, 0.5000) (multiplicity 4)  8 Tb 3.02-3.25
Au (0.0000, 0.1689, 0.0000) (multiplicity 4)  8 Tb 3.10-3.14
Au (0.0000, 0.5000, 0.0000) (multiplicity 2)  8 Tb 3.11-3.15